1.
Computed, not measured: crystalline Hg2AsRu at its relaxed geometry at the GGA-PBE level of DFT.

Geometry as POSCAR:
```
Hg2AsRu
1.0
-3.1825 -1.9149 -3.9795
2.4214 -1.3455 -4.6859
0.7700 -1.0124 5.2928
Hg As Ru
2 1 1
direct
0.0000 0.0000 0.0000 Hg
0.5000 0.5000 0.0000 Hg
0.7500 0.2500 0.5000 As
0.2500 0.7500 0.5000 Ru
```

Results
SG   I4/mmm (139)
Final energy   -3.084 eV/atom

---

2.
Computed, not measured: crystalline HgAsRu2 at its relaxed geometry at the GGA-PBE level of DFT.

Geometry as POSCAR:
```
HgAsRu2
1.0
4.7814 -0.0232 0.0061
3.8708 2.8070 0.0061
0.9354 0.3009 5.1276
Hg Ru As
1 2 1
direct
0.2568 0.2568 0.2216 Hg
0.7471 0.7471 0.7245 Ru
0.0121 0.0121 0.9557 Ru
0.4840 0.4840 0.5982 As
```

Results
SG   Cm (8)
Final energy   -5.494 eV/atom

---

3.
Computed, not measured: crystalline HgAs2Ru2 at its relaxed geometry at the GGA-PBE level of DFT.

Geometry as POSCAR:
```
HgAs2Ru2
1.0
3.8892 0.0000 0.0000
0.0000 3.8892 0.0000
1.9446 1.9446 5.8292
Ru As Hg
2 2 1
direct
0.6192 0.6192 0.7617 Ru
0.3808 0.3808 0.2383 Ru
0.2500 0.7500 0.5000 As
0.7500 0.2500 0.5000 As
0.0000 0.0000 0.0000 Hg
```

Results
SG   I4/mmm (139)
Final energy   -5.529 eV/atom

---

4.
Computed, not measured: crystalline Hg2AsRu at its relaxed geometry at the GGA-PBE level of DFT.

Geometry as POSCAR:
```
Hg2AsRu
1.0
3.0463 0.0000 0.0000
0.0000 3.0463 0.0000
0.0000 0.0000 9.0811
Hg Ru As
2 1 1
direct
0.5000 0.5000 0.3072 Hg
0.0000 0.0000 0.9878 Hg
0.0000 0.0000 0.5296 Ru
0.5000 0.5000 0.6754 As
```

Results
SG   P4mm (99)
Final energy   -3.581 eV/atom

---

5.
Computed, not measured: crystalline Hg2AsRu at its relaxed geometry at the GGA-PBE level of DFT.

Geometry as POSCAR:
```
Hg2AsRu
1.0
-1.5968 -1.8542 -2.7528
-0.1016 -3.5541 2.4529
-4.7166 -0.4298 3.0255
Hg As Ru
2 1 1
direct
0.5000 0.2691 0.3298 Hg
0.0000 0.9770 0.9331 Hg
0.5000 0.5609 0.7624 As
0.0000 0.6930 0.4746 Ru
```

Results
SG   Pm (6)
Final energy   -3.360 eV/atom

---

6.
Computed, not measured: crystalline Hg2AsRu at its relaxed geometry at the GGA-PBE level of DFT.

Geometry as POSCAR:
```
Hg2AsRu
1.0
5.3800 0.0000 0.0000
0.0000 3.1495 -0.0276
0.0000 -0.3406 4.6389
Ru As Hg
1 1 2
direct
0.5000 0.2500 0.2500 Ru
0.5000 0.7500 0.7500 As
0.0000 0.5016 0.4972 Hg
0.0000 0.9984 0.0028 Hg
```

Results
SG   P2/m (10)
Final energy   -3.094 eV/atom

---

7.
Computed, not measured: crystalline HgAsRu4 at its relaxed geometry at the GGA-PBE level of DFT.

Geometry as POSCAR:
```
HgAsRu4
1.0
3.7771 -0.8738 3.4845
1.8191 3.9230 2.9107
-1.0671 0.1744 5.0993
Hg As Ru
1 1 4
direct
0.0000 0.0000 0.0000 Hg
0.7500 0.7500 0.7500 As
0.3753 0.8740 0.3753 Ru
0.3753 0.3753 0.8740 Ru
0.3753 0.3753 0.3753 Ru
0.8740 0.3753 0.3753 Ru
```

Results
SG   F-43m (216)
Final energy   -6.311 eV/atom

---

8.
Computed, not measured: crystalline Hg2As2Ru at its relaxed geometry at the GGA-PBE level of DFT.

Geometry as POSCAR:
```
Hg2As2Ru
1.0
6.3030 0.0000 0.0000
0.0000 6.3030 0.0000
0.0000 0.0000 5.5336
Hg Ru As
4 2 4
direct
0.3111 0.8111 0.5000 Hg
0.1889 0.3111 0.5000 Hg
0.6889 0.1889 0.5000 Hg
0.8111 0.6889 0.5000 Hg
0.5000 0.5000 0.0000 Ru
0.0000 0.0000 0.0000 Ru
0.8552 0.6448 0.0000 As
0.3552 0.8552 0.0000 As
0.6448 0.1448 0.0000 As
0.1448 0.3552 0.0000 As
```

Results
SG   P4/mbm (127)
Final energy   -3.701 eV/atom

---

Question: Among the records above, which one has the highest final energy?
Answer: number 1